No. 1
Compound: Nd2Tm6In
Source: the Alexandria database
Functional: GGA-PBE
Structure: optimized geometry

The space group is Immm (No. 71) and the conventional cell measures 3.470, 10.109 and 15.788 Å, with angles of 90.00, 90.00 and 90.00 degrees. The distinct sites, in fractional coordinates, are Nd at (0.000, 0.000, 0.151), Tm at (0.000, 0.292, 0.500), Tm at (0.000, 0.338, 0.177) and In at (0.000, 0.500, 0.000).

The formation energy is -0.4 kcal/mol of atoms. The value obtained for the total magnetic moment is 0.0 μB per cell. The value obtained for the uncorrected energy is -4.36 eV/atom. Its density of states at the Fermi level is 19.481 states/eV per cell.

=====

No. 2
Compound: Nd4TmIn3
Source: the Alexandria database
Functional: GGA-PBE
Structure: optimized geometry

The space group is Immm (No. 71) and the conventional cell measures 4.957, 4.961 and 19.145 Å, with angles of 90.00, 90.00 and 90.00 degrees. The distinct sites, in fractional coordinates, are Nd at (0.000, 0.000, 0.130), Nd at (0.000, 0.000, 0.369), Tm at (0.000, 0.500, 0.500), In at (0.000, 0.500, 0.000) and In at (0.000, 0.500, 0.249).

The formation energy is -8.0 kcal/mol of atoms. The value obtained for the total magnetic moment is 0.0 μB per cell. The value obtained for the uncorrected energy is -4.32 eV/atom. Its density of states at the Fermi level is 18.555 states/eV per cell.

=====

No. 3
Compound: Nd3Tm2In
Source: the Alexandria database
Functional: GGA-PBE
Structure: optimized geometry

The space group is Cmmm (No. 65) and the conventional cell measures 4.999, 15.181 and 4.897 Å, with angles of 90.00, 90.00 and 90.00 degrees. The distinct sites, in fractional coordinates, are Nd at (0.000, 0.000, 0.000), Nd at (0.000, 0.330, 0.000), Tm at (0.000, 0.163, 0.500) and In at (0.000, 0.500, 0.500).

The formation energy is -3.6 kcal/mol of atoms. The value obtained for the total magnetic moment is 0.0 μB per cell. The value obtained for the uncorrected energy is -4.49 eV/atom. Its density of states at the Fermi level is 15.228 states/eV per cell.

=====

No. 4
Compound: Nd3Tm4In2
Source: the Alexandria database
Functional: GGA-PBE
Structure: optimized geometry

The space group is C2/c (No. 15) and the conventional cell measures 12.930, 13.433 and 6.474 Å, with angles of 90.00, 94.92 and 90.00 degrees. The distinct sites, in fractional coordinates, are Nd at (0.000, 0.036, 0.250), Nd at (0.111, 0.430, 0.593), Tm at (0.108, 0.285, 0.089), Tm at (0.150, 0.174, 0.593) and In at (0.207, 0.073, 0.036).

The formation energy is -2.5 kcal/mol of atoms. The value obtained for the total magnetic moment is 0.0 μB per cell. The value obtained for the uncorrected energy is -4.29 eV/atom. Its density of states at the Fermi level is 43.812 states/eV per cell.

=====

No. 5
Compound: Nd5TmIn4
Source: the Alexandria database
Functional: GGA-PBE
Structure: optimized geometry

The space group is Pmmn (No. 59, origin choice 2) and the conventional cell measures 8.430, 9.197 and 8.716 Å, with angles of 90.00, 90.00 and 90.00 degrees. The distinct sites, in fractional coordinates, are Nd at (0.007, 0.055, 0.235), Nd at (0.250, 0.750, 0.155), Tm at (0.250, 0.250, 0.584), In at (0.089, 0.250, 0.935) and In at (0.250, 0.588, 0.492).

The formation energy is -2.3 kcal/mol of atoms. The value obtained for the total magnetic moment is 0.0 μB per cell. The value obtained for the uncorrected energy is -4.03 eV/atom. Its density of states at the Fermi level is 20.415 states/eV per cell.

=====

No. 6
Compound: NdTm6In2
Source: the Alexandria database
Functional: GGA-PBE
Structure: optimized geometry

The space group is C2/m (No. 12) and the conventional cell measures 12.527, 3.712 and 11.899 Å, with angles of 90.00, 107.64 and 90.00 degrees. The distinct sites, in fractional coordinates, are Nd at (0.000, 0.000, 0.000), Tm at (0.012, 0.000, 0.347), Tm at (0.186, 0.500, 0.874), Tm at (0.190, 0.500, 0.581) and In at (0.146, 0.500, 0.219).

The formation energy is -4.5 kcal/mol of atoms. The value obtained for the total magnetic moment is 0.0 μB per cell. The value obtained for the uncorrected energy is -4.31 eV/atom. Its density of states at the Fermi level is 23.328 states/eV per cell.

=====

No. 7
Compound: Nd3Tm2In3
Source: the Alexandria database
Functional: GGA-PBE
Structure: optimized geometry

The space group is Immm (No. 71) and the conventional cell measures 3.796, 5.483 and 22.713 Å, with angles of 90.00, 90.00 and 90.00 degrees. The distinct sites, in fractional coordinates, are Nd at (0.000, 0.000, 0.000), Nd at (0.000, 0.500, 0.125), Tm at (0.000, 0.000, 0.236), In at (0.000, 0.000, 0.500) and In at (0.000, 0.500, 0.376).

The formation energy is -8.4 kcal/mol of atoms. The value obtained for the total magnetic moment is 0.0 μB per cell. The value obtained for the uncorrected energy is -4.30 eV/atom. Its density of states at the Fermi level is 16.286 states/eV per cell.

=====

No. 8
Compound: Nd12TmIn3
Source: the Alexandria database
Functional: GGA-PBE
Structure: optimized geometry

The space group is P4/mmm (No. 123) and the conventional cell measures 5.000, 5.000 and 20.331 Å, with angles of 90.00, 90.00 and 90.00 degrees. The distinct sites, in fractional coordinates, are Nd at (0.000, 0.000, 0.000), Nd at (0.000, 0.000, 0.246), Nd at (0.000, 0.000, 0.500), Nd at (0.000, 0.500, 0.123), Nd at (0.000, 0.500, 0.370), Tm at (0.500, 0.500, 0.500), In at (0.500, 0.500, 0.000) and In at (0.500, 0.500, 0.245).

The formation energy is -4.6 kcal/mol of atoms. The value obtained for the total magnetic moment is 0.0 μB per cell. The value obtained for the uncorrected energy is -4.57 eV/atom. Its density of states at the Fermi level is 22.856 states/eV per cell.